1.
A plane-wave DFT calculation with PBE was carried out for a relaxed structure of Dy4HoHg4.

Total energy, eV per cell: -52.93
Magnetic moment, μB/atom: 0.000
Energy of formation from the pure elements, eV per atom: -0.25

a = 9.490 Å, b = 9.490 Å, c = 5.523 Å
α = 90.00°, β = 90.00°, γ = 90.00°
Space group P4_2/n (No. 86, origin choice 2)
Asymmetric unit:
Dy: 0.098 0.839 0.147
Ho: 0.250 0.250 0.750
Hg: 0.047 0.146 0.356



2.
A plane-wave DFT calculation with PBE was carried out for a relaxed structure of YCo4Pb.

Total energy, eV per cell: -154.08
Magnetic moment, μB/atom: 0.860
Energy of formation from the pure elements, eV per atom: 0.01

a = 7.151 Å, b = 7.151 Å, c = 7.151 Å
α = 90.00°, β = 90.00°, γ = 90.00°
Space group F-43m (No. 216)
Asymmetric unit:
Y: 0.000 0.000 0.000
Co: 0.125 0.125 0.625
Pb: 0.250 0.250 0.250



3.
A plane-wave DFT calculation with PBE was carried out for a relaxed structure of PaSO6F2.

Uncorrected formation energy, meV/atom: -1523
Total energy, eV per cell: -62.35
Magnetic moment, μB/atom: 0.204

a = 5.031 Å, b = 5.038 Å, c = 5.057 Å
α = 74.22°, β = 74.19°, γ = 74.13°
Space group P-1 (No. 2)
Asymmetric unit:
Pa: 0.000 0.000 0.000
S: 0.500 0.500 0.500
O: 0.287 0.287 0.658
O: 0.287 0.660 0.287
O: 0.339 0.713 0.712
F: 0.191 0.190 0.185



4.
A plane-wave DFT calculation with PBE was carried out for a relaxed structure of BaHf2Au.

Total energy, eV per cell: -90.69
Magnetic moment, μB/atom: 0.000
Relative energy among the computed polymorphs, meV/atom: 131
Energy of formation from the pure elements, eV per atom: 0.61

a = 5.461 Å, b = 5.461 Å, c = 19.199 Å
α = 90.00°, β = 90.00°, γ = 90.00°
Space group I4_1/amd (No. 141, origin choice 2)
Asymmetric unit:
Ba: 0.000 0.250 0.375
Hf: 0.000 0.000 0.000
Au: 0.000 0.250 0.875



5.
A plane-wave DFT calculation with PBE was carried out for a relaxed structure of Cu14SiAu.

Uncorrected formation energy, meV/atom: 5
Total energy, eV per cell: -131.92
Magnetic moment, μB/atom: 0.000

a = 8.491 Å, b = 5.193 Å, c = 9.019 Å
α = 90.00°, β = 90.00°, γ = 90.00°
Space group Amm2 (No. 38)
Asymmetric unit:
Cu: 0.000 0.000 0.000
Cu: 0.000 0.000 0.498
Cu: 0.000 0.247 0.249
Cu: 0.239 0.000 0.835
Cu: 0.243 0.245 0.081
Cu: 0.251 0.000 0.331
Cu: 0.500 0.249 0.919
Si: 0.500 0.000 0.170
Au: 0.500 0.000 0.669



6.
A plane-wave DFT calculation with PBE was carried out for a relaxed structure of Al2CrNi2.

Total energy, eV per cell: -59.71
Magnetic moment, μB/atom: 0.773
Relative energy among the computed polymorphs, meV/atom: 0
Energy of formation from the pure elements, eV per atom: -0.24

a = 6.949 Å, b = 6.949 Å, c = 2.735 Å
α = 90.00°, β = 90.00°, γ = 90.00°
Space group P4/mbm (No. 127)
Asymmetric unit:
Al: 0.139 0.361 0.000
Cr: 0.000 0.000 0.000
Ni: 0.157 0.657 0.500



7.
A plane-wave DFT calculation with PBE was carried out for a relaxed structure of FeCoRu2.

Total energy, eV per cell: -66.93
Magnetic moment, μB/atom: 0.352
Relative energy among the computed polymorphs, meV/atom: 49
Energy of formation from the pure elements, eV per atom: 0.16

a = 3.713 Å, b = 3.713 Å, c = 7.197 Å
α = 90.00°, β = 90.00°, γ = 90.00°
Space group I4/mmm (No. 139)
Asymmetric unit:
Fe: 0.000 0.000 0.000
Co: 0.000 0.000 0.500
Ru: 0.000 0.500 0.250



8.
A plane-wave DFT calculation with PBE was carried out for a relaxed structure of La2Ho4Cd.

Total energy, eV per cell: -57.66
Magnetic moment, μB/atom: 0.000
Energy of formation from the pure elements, eV per atom: 0.04

a = 6.013 Å, b = 6.606 Å, c = 11.455 Å
α = 90.00°, β = 104.14°, γ = 90.00°
Space group P2_1/m (No. 11)
Asymmetric unit:
La: 0.085 0.250 0.484
La: 0.344 0.750 0.066
Ho: 0.153 0.007 0.787
Ho: 0.212 0.250 0.072
Ho: 0.367 0.750 0.370
Cd: 0.495 0.750 0.660



magnetic moment of number 3 (PaSO6F2)? 0.204 μB/atom



What is the magnetic moment in the second record? 0.860 μB/atom